KRbVO4 | PBE with a Hubbard U | relaxed

Lattice parameters (Å, degrees): 6.4415 6.4415 9.2524 90.00 90.00 90.00
With the nearest neighbours (Å) after each atom.
Element x y z (fractional)
1 K 0.0000 0.0000 0.0000  4 O 2.68
2 K 0.5000 0.5000 0.5000  4 O 2.68
3 Rb 0.0000 0.0000 0.5000  4 O 2.85
4 Rb 0.5000 0.5000 0.0000  4 O 2.85
5 V 0.0000 0.5000 0.2500  4 O 1.74
6 V 0.5000 0.0000 0.7500  4 O 1.74
7 O 0.1435 0.3338 0.1400  1 V 1.74
8 O 0.1662 0.6435 0.3600  1 V 1.74
9 O 0.3338 0.8565 0.8600  1 V 1.74
10 O 0.3565 0.1662 0.6400  1 V 1.74
11 O 0.6435 0.8338 0.6400  1 V 1.74
12 O 0.6662 0.1435 0.8600  1 V 1.74
13 O 0.8338 0.3565 0.3600  1 V 1.74
14 O 0.8565 0.6662 0.1400  1 V 1.74

Computed properties:
DOS(E_F)   1.31 states/eV per atom
Magnetic moment   1.0 μB/f.u.
SG   No. 82
E   -0.43097 Ry per atom